First-principles (GGA-PBE) data for an optimized crystal structure of Ac4TlHg, as listed in Alexandria.

Cell and atoms, written as CIF:
```
data_Ac4TlHg
_cell_length_a 4.073
_cell_length_b 4.073
_cell_length_c 13.839
_cell_angle_alpha 90.00
_cell_angle_beta 90.00
_cell_angle_gamma 90.00
_space_group_name_H-M_alt 'P 4/m m m'
_space_group_IT_number 123
_space_group_name_Hall '-P 4 2'
loop_
_atom_site_label
_atom_site_type_symbol
_atom_site_fract_x
_atom_site_fract_y
_atom_site_fract_z
Ac1 Ac 0.000 0.000 0.144
Ac2 Ac 0.500 0.500 0.349
Tl1 Tl 0.000 0.000 0.500
Hg1 Hg 0.500 0.500 0.000
```

## Properties
**Energy relative to the elements**: -258 meV/atom
**Electronic total energy**: -3.441 eV/atom
**M_tot**: 0.64 μB per cell